Here is a relaxed structure of RbBaBiPb2 from Alexandria via LeMat-Bulk. Energies are from PBE.

As for the density of states at the Fermi level: 5.8 states/eV/cell. The formation energy is 0.47 eV per atom.

The space group is P4/mmm (No. 123) and the conventional cell measures 6.122, 6.122 and 6.284 Å, with angles of 90.00, 90.00 and 90.00 degrees. The asymmetric unit holds Rb at (0.000, 0.000, 0.000), Ba at (0.500, 0.500, 0.500), Bi at (0.000, 0.000, 0.500) and Pb at (0.000, 0.500, 0.000).

---

Here is a relaxed structure of La2PmH12Rh3 from Alexandria via LeMat-Bulk. Energies are from PBE.

As for the density of states at the Fermi level: 20.7 states/eV/cell. As for the electronic total energy: -4.67 eV per atom.

The space group is R-3m (No. 166, hexagonal axes) and the conventional cell measures 6.6290, 6.6290 and 14.6550 Å, with angles of 90.00, 90.00 and 120.00 degrees. The asymmetric unit holds La at (0.0000, 0.0000, 0.1074), Pm at (0.0000, 0.0000, 0.5000), H at (0.0456, 0.5228, 0.8844), H at (0.0637, 0.5319, 0.3159) and Rh at (0.0000, 0.5000, 0.0000).